1.
First-principles (PBE-GGA) data for an optimized crystal structure of B4Rh5, as listed in Alexandria via LeMat-Bulk.

Calculated values
E_form ... -0.197 eV/atom
Energy above the lowest structure with this stoichiometry ... 168 meV/atom
Energy ... -7.249 eV per atom
Crystal system ... triclinic

Geometry as CIF:
```
data_B4Rh5
_chemical_formula_sum 'B4 Rh5'
_space_group_name_H-M_alt 'P 1'
_space_group_IT_number 1
_cell_length_a 2.962
_cell_length_b 5.568
_cell_length_c 6.758
_cell_angle_alpha 110.32
_cell_angle_beta 102.53
_cell_angle_gamma 90.16
loop_
_space_group_symop_operation_xyz
'x,y,z'
loop_
_atom_site_label
_atom_site_type_symbol
_atom_site_fract_x
_atom_site_fract_y
_atom_site_fract_z
B1 B 0.050 0.307 0.099
B2 B 0.294 0.002 0.589
B3 B 0.706 0.998 0.411
B4 B 0.950 0.693 0.901
Rh1 Rh 0.107 0.707 0.217
Rh2 Rh 0.199 0.270 0.394
Rh3 Rh 0.500 0.000 0.000
Rh4 Rh 0.801 0.730 0.606
Rh5 Rh 0.893 0.293 0.783
```



2.
First-principles (PBE-GGA) data for an optimized crystal structure of B5Rh7, as listed in Alexandria via LeMat-Bulk.

Calculated values
E_form ... -0.180 eV/atom
Energy ... -7.251 eV per atom
Crystal system ... monoclinic

Geometry as CIF:
```
data_B5Rh7
_chemical_formula_sum 'B5 Rh7'
_space_group_name_H-M_alt 'P 1'
_space_group_IT_number 1
_cell_length_a 5.434
_cell_length_b 5.434
_cell_length_c 9.354
_cell_angle_alpha 105.58
_cell_angle_beta 105.58
_cell_angle_gamma 30.00
loop_
_space_group_symop_operation_xyz
'x,y,z'
loop_
_atom_site_label
_atom_site_type_symbol
_atom_site_fract_x
_atom_site_fract_y
_atom_site_fract_z
B1 B 0.000 0.000 0.000
B2 B 0.143 0.143 0.837
B3 B 0.333 0.333 0.554
B4 B 0.667 0.667 0.446
B5 B 0.857 0.857 0.163
Rh1 Rh 0.000 0.000 0.500
Rh2 Rh 0.269 0.269 0.325
Rh3 Rh 0.348 0.348 0.958
Rh4 Rh 0.489 0.489 0.753
Rh5 Rh 0.511 0.511 0.247
Rh6 Rh 0.652 0.652 0.042
Rh7 Rh 0.731 0.731 0.675
```



3.
First-principles (PBE-GGA) data for an optimized crystal structure of B4Rh5, as listed in Alexandria via LeMat-Bulk.

Calculated values
E_form ... -0.366 eV/atom
Energy above the lowest structure with this stoichiometry ... 0 meV/atom
Energy ... -7.418 eV per atom
Crystal system ... hexagonal

Geometry as CIF:
```
data_B4Rh5
_chemical_formula_sum 'B8 Rh10'
_space_group_name_H-M_alt 'P 1'
_space_group_IT_number 1
_cell_length_a 3.337
_cell_length_b 3.337
_cell_length_c 20.525
_cell_angle_alpha 90.00
_cell_angle_beta 90.00
_cell_angle_gamma 120.00
loop_
_space_group_symop_operation_xyz
'x,y,z'
loop_
_atom_site_label
_atom_site_type_symbol
_atom_site_fract_x
_atom_site_fract_y
_atom_site_fract_z
B1 B 0.333 0.667 0.086
B2 B 0.333 0.667 0.196
B3 B 0.333 0.667 0.304
B4 B 0.333 0.667 0.414
B5 B 0.667 0.333 0.586
B6 B 0.667 0.333 0.696
B7 B 0.667 0.333 0.804
B8 B 0.667 0.333 0.914
Rh1 Rh 0.000 0.000 0.148
Rh2 Rh 0.000 0.000 0.352
Rh3 Rh 0.000 0.000 0.648
Rh4 Rh 0.000 0.000 0.852
Rh5 Rh 0.333 0.667 0.547
Rh6 Rh 0.333 0.667 0.750
Rh7 Rh 0.333 0.667 0.953
Rh8 Rh 0.667 0.333 0.047
Rh9 Rh 0.667 0.333 0.250
Rh10 Rh 0.667 0.333 0.453
```



4.
First-principles (PBE-GGA) data for an optimized crystal structure of BRh2, as listed in Alexandria via LeMat-Bulk.

Calculated values
E_form ... -0.202 eV/atom
Energy ... -7.328 eV per atom
Crystal system ... orthorhombic

Geometry as CIF:
```
data_BRh2
_chemical_formula_sum 'B4 Rh8'
_space_group_name_H-M_alt 'P 1'
_space_group_IT_number 1
_cell_length_a 5.347
_cell_length_b 3.857
_cell_length_c 6.831
_cell_angle_alpha 90.00
_cell_angle_beta 90.00
_cell_angle_gamma 90.00
loop_
_space_group_symop_operation_xyz
'x,y,z'
loop_
_atom_site_label
_atom_site_type_symbol
_atom_site_fract_x
_atom_site_fract_y
_atom_site_fract_z
B1 B 0.229 0.250 0.101
B2 B 0.271 0.750 0.601
B3 B 0.729 0.250 0.399
B4 B 0.771 0.750 0.899
Rh1 Rh 0.005 0.250 0.850
Rh2 Rh 0.122 0.250 0.402
Rh3 Rh 0.378 0.750 0.902
Rh4 Rh 0.495 0.750 0.350
Rh5 Rh 0.505 0.250 0.650
Rh6 Rh 0.622 0.250 0.098
Rh7 Rh 0.878 0.750 0.598
Rh8 Rh 0.995 0.750 0.150
```